This record from Alexandria describes a geometry-optimized BeH4N2 structure. The functional is PBE.

Properties
Final energy, eV per atom: -5.42
Symmetry: I4_1/acd (142)
Density of states at the Fermi level, states/eV/f.u.: 0.00

Structure (POSCAR):
```
BeH4N2
1.0
-5.1623 5.1623 8.1231
5.1623 -5.1623 8.1231
5.1623 5.1623 -8.1231
Be H N
16 64 32
Cartesian
5.8594 3.8583 -5.0574
1.2772 1.8840 -0.9959
5.8594 -1.3039 5.0574
3.8851 1.8840 0.9959
3.8851 -1.8840 7.1272
5.8594 1.3039 3.0657
6.4395 3.2783 0.9959
0.6971 1.3039 5.0574
4.4652 3.8583 3.0657
-1.2772 1.8840 7.1272
-0.6971 3.8583 5.0574
1.2772 7.0463 0.9959
1.2772 3.2783 7.1272
-0.6971 6.4662 3.0657
3.8851 3.2783 9.1190
-0.6971 1.3039 13.1805
4.4736 -2.1713 3.4562
3.0672 0.5394 -0.6370
7.8639 1.3950 -1.5237
4.4736 2.9909 -3.4562
7.7081 2.5174 -2.6643
5.0985 -0.0353 1.3973
5.0985 5.1976 -6.7258
2.0951 0.5394 0.6370
2.6165 2.6449 -2.6643
3.9762 5.0418 -5.5852
5.5721 1.8925 -0.6054
7.2040 -0.4860 3.4245
3.9762 0.1204 2.5379
4.7525 -3.2698 8.7285
7.6230 1.3950 1.5237
2.0417 -0.4860 4.6986
2.0417 0.4860 3.4245
2.4607 3.7672 -1.5237
4.7525 3.2698 -0.6054
3.9762 -0.1204 5.5852
7.2040 0.4860 4.6986
0.4098 3.2698 0.6054
3.9762 5.2827 -2.5379
7.7788 2.5174 2.6643
2.0951 -0.5394 7.4861
5.0985 5.1269 -1.3973
5.0985 0.0353 6.7258
2.5458 2.6449 2.6643
-0.6887 2.1713 3.4562
2.7016 3.7672 1.5237
3.0672 -0.5394 8.7601
4.4736 2.1713 4.6669
0.6887 2.9909 3.4562
2.0951 5.7017 -0.6370
2.4607 1.3950 6.5994
5.8509 2.9909 4.6669
2.6165 2.5174 5.4588
0.0638 5.1269 1.3973
0.0638 0.0353 9.5204
3.0672 5.7017 0.6370
-2.6165 2.6449 5.4588
1.1861 -0.1204 10.6609
4.7525 1.8925 7.5177
-2.0417 4.6762 3.4245
1.1861 5.2827 2.5379
0.4098 1.8925 8.7285
2.7016 1.3950 9.6468
3.1206 4.6762 4.6986
3.1206 5.6483 3.4245
-2.4607 3.7672 6.5994
0.4098 8.4321 -0.6054
1.1861 5.0418 5.5852
-2.0417 5.6483 4.6986
-0.4098 3.2698 8.7285
1.1861 0.1204 13.7083
2.5458 2.5174 10.7873
3.0672 4.6228 7.4861
0.0638 -0.0353 14.8489
0.0638 5.1976 6.7258
-2.5458 2.6449 10.7873
0.6887 2.1713 11.5793
-2.7016 3.7672 9.6468
2.0951 4.6228 8.7601
0.6887 7.3336 4.6669
5.1623 -2.5811 4.0947
4.6499 4.4944 -6.1299
3.2490 -3.0935 6.0548
2.5811 1.1832 0.0000
1.9133 3.0935 -2.0683
4.6499 0.6679 1.9932
5.1623 -2.5811 8.0899
1.3979 0.0000 4.0615
6.5602 0.0000 4.0615
5.1623 2.5811 0.0332
4.6499 -0.6679 6.1299
7.0755 2.0687 2.0683
2.5811 -1.1832 8.1231
3.2490 3.0935 2.0683
-0.5124 0.6679 6.1299
5.1623 2.5811 4.0284
0.0000 2.5811 4.0947
5.6747 4.4944 1.9932
1.9133 2.0687 6.0548
2.5811 6.3455 0.0000
-1.9133 3.0935 6.0548
0.5124 5.8302 1.9932
0.0000 2.5811 8.0899
-1.3979 5.1623 4.0615
3.7644 5.1623 4.0615
0.0000 7.7434 0.0332
0.5124 4.4944 6.1299
3.2490 2.0687 10.1914
2.5811 3.9790 8.1231
1.9133 8.2558 2.0683
0.5124 0.6679 14.2529
0.0000 7.7434 4.0284
```